1.
This record from the Alexandria database describes a relaxed structure of Sm3Mg2Pt4. The functional is PBE-GGA.

The value obtained for the energy of formation from the pure elements is -22.74 kcal/mol of atoms. As for the density of states at the Fermi level: 0.460 states/eV/atom. The calculation puts the density at 10.652 g cm⁻³. The volume comes out at 199.5 Å³/cell.

Cell: 4.313 5.547 9.087 Å, 94.55 90.00 112.88°
Atoms (fractional coordinates):
1 Sm 0.375 0.751 0.617
2 Sm 0.000 0.000 0.000
3 Sm 0.625 0.249 0.383
4 Mg 0.324 0.648 0.211
5 Mg 0.676 0.352 0.789
6 Pt 0.705 0.411 0.088
7 Pt 0.086 0.172 0.628
8 Pt 0.914 0.828 0.372
9 Pt 0.295 0.589 0.912



2.
This record from the Alexandria database describes a relaxed structure of La3NdZn8. The functional is PBE-GGA.

The value obtained for the energy of formation from the pure elements is -7.24 kcal/mol of atoms. As for the density of states at the Fermi level: 0.493 states/eV/atom. The calculation puts the density at 7.110 g cm⁻³. The volume comes out at 253.2 Å³/cell.

Cell: 5.756 5.756 8.824 Å, 90.00 90.00 120.00°
Atoms (fractional coordinates):
1 La 0.667 0.333 0.448
2 La 0.667 0.333 0.049
3 La 0.000 0.000 0.947
4 Nd 0.000 0.000 0.555
5 Zn 0.333 0.667 0.498
6 Zn 0.333 0.667 0.002
7 Zn 0.495 0.989 0.748
8 Zn 0.495 0.505 0.748
9 Zn 0.011 0.505 0.748
10 Zn 0.169 0.338 0.252
11 Zn 0.169 0.831 0.252
12 Zn 0.662 0.831 0.252



> Among the records above, which one has the highest energy of formation from the pure elements?

La3NdZn8



> Which of these has the highest energy of formation from the pure elements?

La3NdZn8